one:
Density functional theory data (PBE) for a relaxed structure of Sn2As2I.

Cell: 9.396 9.396 3.570 Å, 90.00 90.00 90.00°
Positions (direct):
Sn: 0.359 0.859 0.000
Sn: 0.859 0.641 0.000
Sn: 0.141 0.359 0.000
Sn: 0.641 0.141 0.000
As: 0.099 0.599 0.500
As: 0.599 0.901 0.500
As: 0.901 0.401 0.500
As: 0.401 0.099 0.500
I: 0.500 0.500 0.000
I: 0.000 0.000 0.000

* SG: P4/mbm (127)
* N(E_F): 2.31 states/eV/cell

---

two:
Density functional theory data (PBE) for a relaxed structure of Sn2As2I.

Cell: 5.460 5.460 6.114 Å, 63.48 63.48 90.00°
Positions (direct):
As: 0.629 0.629 0.741
As: 0.371 0.371 0.259
I: 0.000 0.000 0.000
Sn: 0.250 0.750 0.500
Sn: 0.750 0.250 0.500

* SG: I4/mmm (139)
* N(E_F): 2.31 states/eV/cell

---

The data favor two; the next most stable structure lies 16.7 kJ/mol of atoms above it.